Pr3NdPt8 | PBE | relaxed

The calculation puts the volume at 240 Å³ per cell. The electronic total energy is -6.664 eV/atom. The formation energy comes out at -1.045 eV/atom.

abc: 9.5911 9.5911 9.5911
angles: 33.53 33.53 33.53
Closest atoms and distances in Å follow each position.
Fractional positions:
1 Pr 0.0000 0.0000 0.0000  12 Pt 3.24-3.25, 3 Nd 3.39, 1 Pr 3.40
2 Pr 0.1252 0.1252 0.1252  12 Pt 3.24-3.25, 4 Pr 3.39-3.40
3 Pr 0.5003 0.5003 0.5003  12 Pt 3.24-3.25, 3 Pr 3.39, 1 Nd 3.39
4 Nd 0.6254 0.6254 0.6254  12 Pt 3.24, 4 Pr 3.39
5 Pt 0.0623 0.5627 0.5627  6 Pt 2.76-2.77
6 Pt 0.0629 0.0629 0.5630  6 Pt 2.76-2.77
7 Pt 0.0629 0.5630 0.0629  6 Pt 2.76-2.77
8 Pt 0.3127 0.3127 0.3127  6 Pt 2.76-2.77
9 Pt 0.5627 0.0623 0.5627  6 Pt 2.76-2.77
10 Pt 0.5630 0.0629 0.0629  6 Pt 2.76-2.77
11 Pt 0.5627 0.5627 0.0623  6 Pt 2.76-2.77
12 Pt 0.8127 0.8127 0.8127  6 Pt 2.77